Record 1
# HoIn5Pt4

A geometry-optimized HoIn5Pt4 structure (PBE-GGA, Alexandria via LeMat-Bulk).

Lattice parameters (Å, degrees): 15.0491 4.7192 6.7485 90.00 115.65 90.00
With the nearest neighbours (Å) after each atom.
Space group C2/m (No. 12)
Asymmetric unit:
Ho1 0.0000 0.0000 0.0000 [2 per cell]  6 Pt 2.84-2.94
In1 0.0000 0.0000 0.5000 [2 per cell]  6 Pt 2.77-2.86
In2 0.1659 0.5000 0.1663 [4 per cell]  5 Pt 2.79-2.93
In3 0.1734 0.5000 0.6794 [4 per cell]  5 Pt 2.71-3.00
Pt1 0.0090 0.5000 0.7486 [4 per cell]  6 In 2.71-3.00, 2 Ho 2.94
Pt2 0.1651 0.0000 0.4178 [4 per cell]  7 In 2.77-2.92, 1 Ho 2.84

Calculated values
D(E_F) (states/eV/cell): 6.93
Formation energy from the elements (eV/atom): -0.54

Record 2
# Ho6InPt2

A geometry-optimized Ho6InPt2 structure (PBE-GGA, Alexandria via LeMat-Bulk).

Lattice parameters (Å, degrees): 9.3915 9.6853 10.4559 90.00 90.00 90.00
With the nearest neighbours (Å) after each atom.
Space group Immm (No. 71)
Asymmetric unit:
Ho1 0.0000 0.2018 0.2366 [8 per cell]  1 Pt 2.81
Ho2 0.1975 0.5000 0.1700 [8 per cell]  3 Pt 2.76-3.00
Ho3 0.2094 0.3172 0.5000 [8 per cell]  3 Pt 3.00-3.12, 1 In 3.25
In1 0.0000 0.0000 0.0000 [2 per cell]  8 Ho 3.15-3.25, 2 Pt 3.29
In2 0.0000 0.0000 0.5000 [2 per cell]  12 Ho 3.35-3.65
Pt1 0.0000 0.3395 0.0000 [4 per cell]  8 Ho 2.81-3.12, 1 Pt 3.11
Pt2 0.0000 0.5000 0.3651 [4 per cell]  6 Ho 2.76-3.00, 1 Pt 2.82

Calculated values
D(E_F) (states/eV/cell): 33.93
Formation energy from the elements (eV/atom): -0.75

Record 3
# Ho4InPt

A geometry-optimized Ho4InPt structure (PBE-GGA, Alexandria via LeMat-Bulk).

Lattice parameters (Å, degrees): 7.4396 7.0851 6.9325 90.00 92.29 90.00
With the nearest neighbours (Å) after each atom.
Space group P2_1/c (No. 14)
Asymmetric unit:
Ho1 0.1442 0.1620 0.1737 [4 per cell]  2 Pt 2.79-2.87
Ho2 0.3210 0.6424 0.1218 [4 per cell]  1 Pt 2.70, 1 In 3.00
In1 0.5000 0.0000 0.0000 [2 per cell]  6 Ho 3.00-3.17
Pt1 0.0000 0.0000 0.5000 [2 per cell]  6 Ho 2.70-2.87

Calculated values
D(E_F) (states/eV/cell): 12.79
Formation energy from the elements (eV/atom): -0.44
Relative energy among the computed polymorphs (kJ/mol of atoms): 23.9

Record 4
# Ho4InPt

A geometry-optimized Ho4InPt structure (PBE-GGA, Alexandria via LeMat-Bulk).

Lattice parameters (Å, degrees): 13.6813 13.6813 13.6813 90.00 90.00 90.00
With the nearest neighbours (Å) after each atom.
Space group F-43m (No. 216)
Asymmetric unit:
Ho1 0.0000 0.0000 0.1873 [24 per cell]  2 In 3.24, 2 Pt 3.49, 6 Ho 3.49-3.62
Ho2 0.0608 0.2500 0.2500 [24 per cell]  2 Pt 2.84
Ho3 0.1015 0.1015 0.6015 [16 per cell]  3 Pt 2.85
In1 0.1666 0.1666 0.8334 [16 per cell]  3 In 3.23, 9 Ho 3.24-3.50
Pt1 0.1068 0.1068 0.3932 [16 per cell]  6 Ho 2.84-2.85

Calculated values
D(E_F) (states/eV/cell): 76.07
Formation energy from the elements (eV/atom): -0.69
Relative energy among the computed polymorphs (kJ/mol of atoms): 0.0